No. 1
The following is a GGA-PBE calculation of crystalline TaCuNiAs2 at its relaxed geometry, from the Alexandria database.

energy of formation = 1.02 eV per atom
magnetic moment = 0.76 μB per formula unit
raw total energy = -25.9 eV/cell
symmetry = P4/mmm

POSCAR file:
```
TaCuNiAs2
1.0
4.906 0.000 0.000
0.000 4.853 0.000
0.000 0.000 4.906
Ni Ta Cu As
1 1 1 2
direct
0.500 0.500 0.500
0.000 0.000 0.000
0.000 0.500 0.000
0.000 0.000 0.500
0.500 0.000 0.000
```

***

No. 2
The following is a GGA-PBE calculation of crystalline TlZn2Hg2 at its relaxed geometry, from the Alexandria database.

energy of formation = 0.13 eV per atom
magnetic moment = 0.00 μB per formula unit
raw total energy = -9.8 eV/cell
symmetry = P4/mbm
energy above the most stable polymorph in this dataset = 0.038 eV/atom

POSCAR file:
```
TlZn2Hg2
1.0
8.635 0.000 0.000
0.000 8.635 0.000
0.000 0.000 3.061
Tl Zn Hg
2 4 4
direct
0.500 0.500 0.000
0.000 0.000 0.000
0.853 0.353 0.500
0.647 0.853 0.500
0.147 0.647 0.500
0.353 0.147 0.500
0.351 0.851 0.000
0.149 0.351 0.000
0.851 0.649 0.000
0.649 0.149 0.000
```

***

No. 3
The following is a GGA-PBE calculation of crystalline TbDy3Y6Ho2 at its relaxed geometry, from the Alexandria database.

energy of formation = 0.02 eV per atom
magnetic moment = 0.00 μB per formula unit
raw total energy = -66.1 eV/cell
symmetry = C2/m

POSCAR file:
```
TbDy3Y6Ho2
1.0
6.155 0.002 0.006
-3.074 5.332 0.006
-1.033 -1.788 11.601
Y Ho Dy Tb
6 2 3 1
direct
0.084 0.417 0.250
0.417 0.084 0.250
0.250 0.250 0.750
0.750 0.750 0.250
0.916 0.583 0.750
0.583 0.916 0.750
0.667 0.333 0.000
0.333 0.667 0.000
0.500 0.500 0.500
0.833 0.167 0.500
0.167 0.833 0.500
0.000 0.000 0.000
```

***

No. 4
The following is a GGA-PBE calculation of crystalline NdTmMg3 at its relaxed geometry, from the Alexandria database.

energy of formation = 0.03 eV per atom
magnetic moment = 0.00 μB per formula unit
raw total energy = -55.5 eV/cell
symmetry = C2/c
energy above the most stable polymorph in this dataset = 0.000 eV/atom

POSCAR file:
```
NdTmMg3
1.0
-1.633 -2.597 1.718
5.956 -0.746 11.778
-8.019 5.971 8.648
Tm Mg Nd
4 12 4
direct
0.750 0.911 0.089
0.250 0.089 0.911
0.750 0.273 0.727
0.250 0.727 0.273
0.023 0.940 0.788
0.600 0.656 0.498
0.467 0.905 0.377
0.100 0.498 0.656
0.533 0.095 0.623
0.523 0.788 0.940
0.400 0.344 0.502
0.967 0.377 0.905
0.900 0.502 0.344
0.033 0.623 0.095
0.477 0.212 0.060
0.977 0.060 0.212
0.812 0.821 0.619
0.312 0.619 0.821
0.188 0.179 0.381
0.688 0.381 0.179
```

***

No. 5
The following is a GGA-PBE calculation of crystalline UTaP2 at its relaxed geometry, from the Alexandria database.

energy of formation = -0.79 eV per atom
magnetic moment = 2.93 μB per formula unit
raw total energy = -37.1 eV/cell
symmetry = R3m
energy above the most stable polymorph in this dataset = 0.076 eV/atom

POSCAR file:
```
UTaP2
1.0
3.577 0.000 0.000
1.789 3.098 0.000
1.789 1.033 6.783
P Ta U
2 1 1
direct
0.240 0.240 0.280
0.093 0.093 0.721
0.497 0.497 0.510
0.671 0.671 0.988
```

***

No. 6
The following is a GGA-PBE calculation of crystalline ReSb2Rh2 at its relaxed geometry, from the Alexandria database.

magnetic moment = 0.00 μB per formula unit
raw total energy = -67.2 eV/cell
symmetry = P4/mbm
energy above the most stable polymorph in this dataset = 0.000 eV/atom
formation energy without anion corrections = 0.356 eV per atom

POSCAR file:
```
ReSb2Rh2
1.0
-5.713 -4.492 -2.178
-1.285 -1.876 7.239
-1.938 2.338 0.262
Re Sb Rh
2 4 4
direct
0.500 0.500 0.000
0.000 0.000 0.000
0.670 0.830 0.500
0.170 0.670 0.500
0.330 0.170 0.500
0.830 0.330 0.500
0.367 0.867 0.000
0.867 0.633 0.000
0.133 0.367 0.000
0.633 0.133 0.000
```